No. 1
Here is crystalline CsGaBr at its relaxed geometry from Alexandria via LeMat-Bulk. Energies are from GGA-PBE.

Lattice parameters (Å, degrees): 4.677 6.732 13.167 43.30 89.91 69.46
Fractional positions:
Ga1 0.722 0.556 0.014
Ga2 0.278 0.444 0.986
Br1 0.995 0.011 0.347
Br2 0.005 0.989 0.653
Cs1 0.777 0.452 0.713
Cs2 0.223 0.548 0.287

Computed properties:
Formation energy without anion corrections   -0.88 eV per atom

No. 2
Here is crystalline K3BaPb at its relaxed geometry from Alexandria via LeMat-Bulk. Energies are from GGA-PBE.

Lattice parameters (Å, degrees): 7.175 7.175 7.175 90.00 90.00 90.00
Fractional positions:
K1 0.000 0.000 0.500
K2 0.500 0.000 0.000
K3 0.000 0.500 0.000
Pb1 0.500 0.500 0.500
Ba1 0.000 0.000 0.000

Computed properties:
Formation energy   0.79 eV/atom
Relative energy among the computed polymorphs   0.6261 eV/atom

No. 3
Here is crystalline Ac4TeIr2Se at its relaxed geometry from Alexandria via LeMat-Bulk. Energies are from GGA-PBE.

Lattice parameters (Å, degrees): 4.401 7.623 8.156 108.27 90.00 90.00
Fractional positions:
Ac1 0.000 0.767 0.288
Ac2 0.500 0.256 0.282
Ac3 0.000 0.233 0.712
Ac4 0.500 0.744 0.718
Te1 0.500 0.500 0.000
Se1 0.000 0.000 0.000
Ir1 0.500 0.000 0.500
Ir2 0.000 0.500 0.500

Computed properties:
Formation energy without anion corrections   -1.17 eV per atom

No. 4
Here is crystalline AcSi2SnO8 at its relaxed geometry from Alexandria via LeMat-Bulk. Energies are from GGA-PBE.

Lattice parameters (Å, degrees): 5.249 5.249 7.186 90.00 90.00 120.00
Last column: magnetic moment on the atom in μB.
Fractional positions:
Si1 0.333 0.667 0.746  -0.01
Si2 0.667 0.333 0.254  -0.01
O1 0.670 0.765 0.688  0.05
O2 0.667 0.333 0.023  0.31
O3 0.765 0.095 0.312  0.05
O4 0.905 0.670 0.312  0.05
O5 0.235 0.905 0.688  0.05
O6 0.333 0.667 0.977  0.31
O7 0.095 0.330 0.688  0.05
O8 0.330 0.235 0.312  0.05
Sn1 0.000 0.000 0.500  0.00
Ac1 0.000 0.000 0.000  0.00

Computed properties:
Formation energy without anion corrections   -2.42 eV per atom

No. 5
Here is crystalline K3TlBi at its relaxed geometry from Alexandria via LeMat-Bulk. Energies are from GGA-PBE.

Lattice parameters (Å, degrees): 6.801 6.801 6.801 90.00 90.00 90.00
Last column: magnetic moment on the atom in μB.
Fractional positions:
K1 0.000 0.000 0.500  0.01
K2 0.000 0.500 0.000  0.01
K3 0.500 0.000 0.000  0.00
Bi1 0.000 0.000 0.000  0.00
Tl1 0.500 0.500 0.500  0.13

Computed properties:
Formation energy   0.03 eV/atom
Relative energy among the computed polymorphs   0.3101 eV/atom

No. 6
Here is crystalline DyHo12Th6 at its relaxed geometry from Alexandria via LeMat-Bulk. Energies are from GGA-PBE.

Lattice parameters (Å, degrees): 9.286 9.286 9.286 109.47 109.47 109.47
Fractional positions:
Ho1 0.261 0.451 0.189
Ho2 0.811 0.261 0.072
Ho3 0.811 0.739 0.549
Ho4 0.451 0.189 0.261
Ho5 0.739 0.928 0.189
Ho6 0.189 0.739 0.928
Ho7 0.739 0.549 0.811
Ho8 0.261 0.072 0.811
Ho9 0.549 0.811 0.739
Ho10 0.928 0.189 0.739
Ho11 0.189 0.261 0.451
Ho12 0.072 0.811 0.261
Th1 0.500 0.145 0.645
Th2 0.355 0.500 0.855
Th3 0.500 0.855 0.355
Th4 0.145 0.645 0.500
Th5 0.855 0.355 0.500
Th6 0.645 0.500 0.145
Dy1 0.000 0.000 0.000

Computed properties:
Formation energy   0.29 eV/atom

No. 7
Here is crystalline Ca2Hg at its relaxed geometry from Alexandria via LeMat-Bulk. Energies are from GGA-PBE.

Lattice parameters (Å, degrees): 8.958 8.958 5.640 90.00 90.00 154.88
Fractional positions:
Ca1 0.506 0.494 0.500
Ca2 0.648 0.352 0.000
Ca3 0.796 0.204 0.500
Ca4 0.938 0.062 0.000
Hg1 0.148 0.852 0.500
Hg2 0.297 0.703 0.000

Computed properties:
Formation energy   -0.34 eV/atom

No. 8
Here is crystalline InTe3S at its relaxed geometry from Alexandria via LeMat-Bulk. Energies are from GGA-PBE.

Lattice parameters (Å, degrees): 5.356 5.356 5.356 90.00 90.00 90.00
Fractional positions:
Te1 0.000 0.500 0.000
Te2 0.500 0.000 0.000
Te3 0.000 0.000 0.500
In1 0.500 0.500 0.500
S1 0.000 0.000 0.000

Computed properties:
Formation energy without anion corrections   0.29 eV per atom
Relative energy among the computed polymorphs   0.0000 eV/atom